# 1
CdRe2Ag PBE relaxed; energy of formation from the pure elements = 0.685 eV/atom; total magnetic moment = 0.00 Bohr magnetons per cell
1.0
5.392 0.023 0.023
2.275 4.889 -0.023
-3.238 -3.385 2.669
Re Ag Cd
2 1 1
direct
0.974 0.974 0.000 Re
0.774 0.274 0.500 Re
0.508 0.508 0.000 Ag
0.244 0.744 0.500 Cd

# 2
KHg2P PBE relaxed; energy of formation from the pure elements = -0.001 eV/atom; total magnetic moment = 0.00 Bohr magnetons per cell
1.0
6.881 0.074 0.047
5.273 4.421 0.047
5.273 1.950 3.968
Hg K P
2 1 1
direct
0.033 0.033 0.033 Hg
0.467 0.467 0.467 Hg
0.250 0.250 0.250 K
0.750 0.750 0.750 P

# 3
Tb3MgPd4 PBE relaxed; energy of formation from the pure elements = -0.827 eV/atom; total magnetic moment = 0.00 Bohr magnetons per cell
1.0
-4.898 -0.078 0.402
-0.524 -1.370 -6.663
0.314 -9.633 1.955
Mg Tb Pd
2 6 8
direct
0.000 0.500 0.000 Mg
0.000 0.500 0.500 Mg
0.000 0.000 0.000 Tb
0.000 0.000 0.500 Tb
0.500 0.000 0.750 Tb
0.500 0.000 0.250 Tb
0.500 0.500 0.750 Tb
0.500 0.500 0.250 Tb
0.500 0.745 0.000 Pd
0.500 0.745 0.500 Pd
0.500 0.255 0.000 Pd
0.500 0.255 0.500 Pd
0.000 0.746 0.750 Pd
0.000 0.746 0.250 Pd
0.000 0.254 0.250 Pd
0.000 0.254 0.750 Pd

# 4
PaTlPb2Se4 PBE relaxed; total magnetic moment = 1.71 Bohr magnetons per cell; uncorrected formation energy = -0.636 eV/atom
1.0
-5.844 -0.306 1.827
-0.717 -5.203 -3.162
5.076 -0.628 5.846
Pa Tl Pb Se
1 1 2 4
direct
0.750 0.250 0.500 Pa
0.500 0.500 0.000 Tl
0.250 0.750 0.500 Pb
0.000 0.000 0.000 Pb
0.968 0.468 0.936 Se
0.532 0.032 0.064 Se
0.758 0.758 0.516 Se
0.242 0.242 0.484 Se

# 5
Ba4ZnBi8 PBE relaxed; energy of formation from the pure elements = -0.570 eV/atom; total magnetic moment = 0.00 Bohr magnetons per cell
1.0
-1.902 -4.292 -0.939
3.754 -2.291 2.870
-10.821 1.447 15.310
Ba Zn Bi
4 1 8
direct
0.000 0.000 0.091 Ba
0.000 0.500 0.604 Ba
0.500 0.500 0.394 Ba
0.500 0.000 0.892 Ba
0.000 0.000 0.321 Zn
0.000 0.000 0.468 Bi
0.000 0.500 0.930 Bi
0.500 0.500 0.043 Bi
0.500 0.000 0.587 Bi
0.000 0.500 0.240 Bi
0.000 0.000 0.739 Bi
0.500 0.000 0.240 Bi
0.500 0.500 0.754 Bi

# 6
Na2NbReO6 PBE relaxed; total magnetic moment = 0.00 Bohr magnetons per cell; uncorrected formation energy = -2.030 eV/atom
1.0
3.942 0.000 0.000
0.000 5.586 0.000
0.000 0.000 5.586
Na Nb Re O
2 1 1 6
direct
0.145 0.500 0.000 Na
0.145 0.000 0.500 Na
0.645 0.500 0.500 Nb
0.645 0.000 0.000 Re
0.645 0.245 0.245 O
0.645 0.245 0.755 O
0.145 0.500 0.500 O
0.145 0.000 0.000 O
0.645 0.755 0.755 O
0.645 0.755 0.245 O

# 7
TbPr3Hg5 PBE relaxed; energy of formation from the pure elements = -0.431 eV/atom; total magnetic moment = 0.00 Bohr magnetons per cell
1.0
-0.364 -5.725 -3.492
9.062 0.744 -2.163
-2.599 -4.554 7.737
Tb Pr Hg
2 6 10
direct
0.000 0.000 0.000 Tb
0.500 0.000 0.000 Tb
0.750 0.372 0.372 Pr
0.750 0.000 0.628 Pr
0.750 0.628 0.000 Pr
0.250 0.628 0.628 Pr
0.250 0.000 0.372 Pr
0.250 0.372 0.000 Pr
0.000 0.667 0.333 Hg
0.500 0.333 0.667 Hg
0.000 0.333 0.667 Hg
0.500 0.667 0.333 Hg
0.750 0.707 0.707 Hg
0.750 0.000 0.293 Hg
0.750 0.293 0.000 Hg
0.250 0.293 0.293 Hg
0.250 0.000 0.707 Hg
0.250 0.707 0.000 Hg

# 8
ZrTlSbIr2 PBE relaxed; total magnetic moment = 0.00 Bohr magnetons per cell; uncorrected formation energy = 1.138 eV/atom
1.0
-4.782 -1.113 0.464
0.595 -4.068 -3.629
1.081 -3.114 3.668
Sb Tl Ir Zr
1 1 2 1
direct
0.500 0.500 0.500 Sb
0.000 0.500 0.000 Tl
0.000 0.000 0.500 Ir
0.500 0.000 0.000 Ir
0.000 0.000 0.000 Zr

# 9
YGa3CuRh PBE relaxed; energy of formation from the pure elements = -0.361 eV/atom; total magnetic moment = 0.00 Bohr magnetons per cell
1.0
5.871 0.000 0.000
0.000 6.097 0.000
0.000 -3.049 6.069
Y Ga Cu Rh
2 6 2 2
direct
0.750 0.283 0.567 Y
0.250 0.717 0.433 Y
0.250 0.154 0.309 Ga
0.000 0.291 0.000 Ga
0.500 0.709 0.000 Ga
0.500 0.291 0.000 Ga
0.000 0.709 0.000 Ga
0.750 0.846 0.691 Ga
0.250 0.942 0.884 Cu
0.750 0.058 0.116 Cu
0.250 0.359 0.718 Rh
0.750 0.641 0.282 Rh

# 10
Ba3Pm4Se8 PBE relaxed; total magnetic moment = 0.00 Bohr magnetons per cell; uncorrected formation energy = -1.862 eV/atom
1.0
8.690 -0.105 -0.150
-4.223 7.750 0.194
-4.223 -2.509 7.335
Ba Pm Se
3 4 8
direct
0.500 0.500 0.000 Ba
0.500 0.000 0.500 Ba
0.500 0.500 0.500 Ba
0.500 0.000 0.000 Pm
0.000 0.500 0.000 Pm
0.000 0.000 0.000 Pm
0.000 0.000 0.500 Pm
0.469 0.221 0.221 Se
0.000 0.761 0.239 Se
0.980 0.233 0.233 Se
0.500 0.760 0.240 Se
0.500 0.240 0.760 Se
0.020 0.767 0.767 Se
0.000 0.239 0.761 Se
0.531 0.779 0.779 Se

# 11
CoOsS3 PBE relaxed; total magnetic moment = 0.00 Bohr magnetons per cell; uncorrected formation energy = 1.100 eV/atom
1.0
4.259 0.000 0.000
0.000 4.259 0.000
0.000 0.000 4.259
Co S Os
1 3 1
direct
0.000 0.000 0.000 Co
0.000 0.500 0.000 S
0.000 0.000 0.500 S
0.500 0.000 0.000 S
0.500 0.500 0.500 Os

# 12
KTcO3 PBE relaxed; total magnetic moment = 0.00 Bohr magnetons per cell; uncorrected formation energy = -1.575 eV/atom
1.0
-1.980 -3.334 0.668
3.391 -1.883 0.658
-0.237 0.907 3.821
K Tc O
1 1 3
direct
0.205 0.484 0.993 K
0.705 0.984 0.493 Tc
0.205 0.984 0.493 O
0.705 0.484 0.493 O
0.705 0.984 0.993 O